## 1
The following is a PBE-GGA calculation of a geometry-optimized Cu2SiTe structure, from the Alexandria database.

a b c (Å): 4.189 4.049 4.396
angles (deg): 90.00 93.21 90.00
Space group P2/m (No. 10)
Symmetry-distinct sites (fractional):
Cu: 0.225 0.000 0.324 (multiplicity 2)
Si: 0.000 0.500 0.500 (multiplicity 1)
Te: 0.500 0.500 0.000 (multiplicity 1)

## 2
The following is a PBE-GGA calculation of a geometry-optimized Cu2SiTe structure, from the Alexandria database.

a b c (Å): 4.285 4.285 3.729
angles (deg): 90.00 90.00 90.00
Space group P4/mmm (No. 123)
Symmetry-distinct sites (fractional):
Cu: 0.000 0.500 0.000 (multiplicity 2)
Si: 0.000 0.000 0.500 (multiplicity 1)
Te: 0.500 0.500 0.500 (multiplicity 1)

On energetic grounds, 1 is preferred over the next structure by 199 meV/atom.

## 1
The following is a PBE-GGA calculation of a geometry-optimized BeCuSi structure, from the Alexandria database.

a b c (Å): 4.841 6.259 2.965
angles (deg): 90.00 126.52 90.00
Space group C2 (No. 5)
Symmetry-distinct sites (fractional):
Be: 0.000 0.000 0.000 (multiplicity 2)
Cu: 0.000 0.695 0.500 (multiplicity 2)
Si: 0.000 0.298 0.500 (multiplicity 2)

## 2
The following is a PBE-GGA calculation of a geometry-optimized BeCuSi structure, from the Alexandria database.

a b c (Å): 3.197 3.197 6.907
angles (deg): 90.00 90.00 90.00
Space group I4mm (No. 107)
Symmetry-distinct sites (fractional):
Be: 0.000 0.000 0.000 (multiplicity 2)
Cu: 0.000 0.000 0.667 (multiplicity 2)
Si: 0.000 0.000 0.330 (multiplicity 2)

On energetic grounds, 1 is preferred over the next structure by 46 meV/atom.